Material: GdPaSe2
Method: DFT, PBE
State: relaxed

Cell lengths 3.5560, 3.5560, 7.1242 Å; angles 90.00, 90.00, 90.00 degrees
Closest atoms and distances in Å follow each position.
Space group P4/mmm (No. 123)
Unique sites:
Gd 0.0000 0.0000 0.0000  8 Se 3.12
Pa 0.0000 0.0000 0.5000  8 Se 3.05
Se 0.5000 0.5000 0.2588  4 Pa 3.05, 4 Gd 3.12

Values from the calculation:
- magnetization (μB/atom) = 1.79
- ΔE_f (raw) (eV/atom) = -1.27
- excess energy over the best structure of this formula in the dataset (kJ per mole of atoms) = 22.2



Material: Li3Hf2Pd6
Method: DFT, PBE
State: relaxed

Cell lengths 3.9352, 3.9352, 22.9535 Å; angles 90.00, 90.00, 90.00 degrees
Closest atoms and distances in Å follow each position.
Space group I4/mmm (No. 139)
Unique sites:
Li 0.0000 0.0000 0.0000  8 Pd 2.54
Li 0.0000 0.0000 0.1272  5 Pd 2.27-2.37
Hf 0.0000 0.0000 0.3420  5 Pd 2.66-2.82, 4 Li 2.87
Pd 0.0000 0.0000 0.2262  1 Li 2.27
Pd 0.0000 0.5000 0.0700  4 Li 2.37-2.54

Values from the calculation:
- magnetization (μB/atom) = 0.00
- energy relative to the elements (eV/atom) = -0.2882



Material: NiSb2Pd
Method: DFT, PBE
State: relaxed

Cell lengths 6.6921, 6.6921, 6.6921 Å; angles 90.00, 90.00, 90.00 degrees
Closest atoms and distances in Å follow each position.
Space group Fm-3m (No. 225)
Unique sites:
Ni 0.0000 0.0000 0.0000  8 Sb 2.90
Sb 0.2500 0.2500 0.2500  4 Ni 2.90, 4 Pd 2.90
Pd 0.0000 0.0000 0.5000  8 Sb 2.90

Values from the calculation:
- magnetization (μB/atom) = 0.00
- ΔE_f (raw) (eV/atom) = -0.05



Material: PmTiRh
Method: DFT, PBE
State: relaxed

Cell lengths 3.2897, 3.2897, 11.6081 Å; angles 90.00, 90.00, 90.00 degrees
Closest atoms and distances in Å follow each position.
Space group I4mm (No. 107)
Unique sites:
Pm 0.0000 0.0000 0.0000  5 Rh 3.23-3.56, 4 Pm 3.29, 5 Ti 3.31-3.41
Ti 0.0000 0.0000 0.7149  4 Rh 2.56
Rh 0.0000 0.0000 0.3064  4 Ti 2.56

Values from the calculation:
- magnetization (μB/atom) = 0.00
- energy relative to the elements (eV/atom) = -0.3612



Material: LiSiRu3
Method: DFT, PBE
State: relaxed

Cell lengths 4.0696, 4.0696, 4.0696 Å; angles 90.00, 90.00, 90.00 degrees
Closest atoms and distances in Å follow each position.
Space group Pm-3m (No. 221)
Unique sites:
Li 0.0000 0.0000 0.0000  6 Ru 2.03
Si 0.5000 0.5000 0.5000  12 Ru 2.88
Ru 0.0000 0.0000 0.5000  2 Li 2.03

Values from the calculation:
- magnetization (μB/atom) = 0.37
- ΔE_f (raw) (eV/atom) = 0.98
- excess energy over the best structure of this formula in the dataset (kJ per mole of atoms) = 28.2



Material: Tb4ThPd15
Method: DFT, PBE
State: relaxed

Cell lengths 4.1527, 4.1527, 20.7217 Å; angles 90.00, 90.00, 90.00 degrees
Closest atoms and distances in Å follow each position.
Space group P4/mmm (No. 123)
Unique sites:
Tb 0.0000 0.0000 0.0997  12 Pd 2.92-2.94
Tb 0.0000 0.0000 0.2973  12 Pd 2.91-2.96
Th 0.0000 0.0000 0.5000  12 Pd 2.94-2.95
Pd 0.0000 0.5000 0.0000  8 Pd 2.92-2.94, 4 Tb 2.93
Pd 0.0000 0.5000 0.1991  4 Tb 2.91-2.92, 8 Pd 2.93-2.94
Pd 0.0000 0.5000 0.3989  8 Pd 2.93-2.95, 2 Th 2.95, 2 Tb 2.96
Pd 0.5000 0.5000 0.0994  8 Pd 2.92-2.93, 4 Tb 2.94
Pd 0.5000 0.5000 0.2988  8 Pd 2.93, 4 Tb 2.94
Pd 0.5000 0.5000 0.5000  4 Th 2.94, 8 Pd 2.95

Values from the calculation:
- magnetization (μB/atom) = 0.00
- energy relative to the elements (eV/atom) = -0.9024



Material: TmTiAl
Method: DFT, PBE
State: relaxed

Cell lengths 4.8638, 4.8638, 2.9505 Å; angles 90.00, 90.00, 120.00 degrees
Closest atoms and distances in Å follow each position.
Space group P-6m2 (No. 187)
Unique sites:
Tm 0.0000 0.0000 0.0000  3 Ti 2.81, 2 Tm 2.95
Ti 0.3333 0.6667 0.0000  3 Tm 2.81, 2 Ti 2.95
Al 0.6667 0.3333 0.5000  2 Al 2.95, 6 Tm 3.17, 6 Ti 3.17

Values from the calculation:
- magnetization (μB/atom) = 0.51
- excess energy over the best structure of this formula in the dataset (kJ per mole of atoms) = 26.0
- energy relative to the elements (eV/atom) = 0.0545



Material: P2RhBr
Method: DFT, PBE
State: relaxed

Cell lengths 7.0257, 3.5514, 7.2275 Å; angles 90.00, 109.93, 90.00 degrees
Closest atoms and distances in Å follow each position.
Space group C2/m (No. 12)
Unique sites:
P 0.1431 0.0000 0.3658  3 Rh 2.36-2.40, 1 Br 2.49
Rh 0.0000 0.5000 0.5000  6 P 2.36-2.40
Br 0.0000 0.0000 0.0000  2 P 2.49

Values from the calculation:
- magnetization (μB/atom) = 0.00
- ΔE_f (raw) (eV/atom) = -0.20
- excess energy over the best structure of this formula in the dataset (kJ per mole of atoms) = 0.0



Material: Nd3Tm3MgSe8
Method: DFT, PBE
State: relaxed

Cell lengths 8.1358, 8.1358, 20.4593 Å; angles 90.00, 90.00, 120.00 degrees
Closest atoms and distances in Å follow each position.
Space group R-3m (No. 166, hexagonal axes)
Unique sites:
Nd 0.0000 0.5000 0.0000  6 Se 2.98
Tm 0.0000 0.5000 0.5000  6 Se 2.83
Mg 0.0000 0.0000 0.5000  6 Se 2.81
Se 0.0000 0.0000 0.2439  3 Tm 2.83, 3 Nd 2.98
Se 0.0028 0.5014 0.2434  1 Mg 2.81, 2 Tm 2.83, 2 Nd 2.98

Values from the calculation:
- magnetization (μB/atom) = 0.00
- ΔE_f (raw) (eV/atom) = -1.75



Material: TiBi2Pb
Method: DFT, PBE
State: relaxed

Cell lengths 6.7564, 6.7564, 13.7369 Å; angles 90.00, 90.00, 90.00 degrees
Closest atoms and distances in Å follow each position.
Space group I-42d (No. 122)
Unique sites:
Ti 0.0000 0.0000 0.0000  4 Bi 2.74
Bi 0.1945 0.2500 0.1250  2 Ti 2.74
Pb 0.0000 0.0000 0.5000  4 Bi 3.17

Values from the calculation:
- magnetization (μB/atom) = 0.00
- excess energy over the best structure of this formula in the dataset (kJ per mole of atoms) = 27.2
- energy relative to the elements (eV/atom) = 0.2761



Material: La5Zn4In
Method: DFT, PBE
State: relaxed

Cell lengths 3.7772, 3.7772, 19.2539 Å; angles 90.00, 90.00, 90.00 degrees
Closest atoms and distances in Å follow each position.
Space group P4/mmm (No. 123)
Unique sites:
La 0.0000 0.0000 0.0000  8 Zn 3.27
La 0.0000 0.0000 0.1947  8 Zn 3.24-3.25
La 0.0000 0.0000 0.3877  4 Zn 3.27, 4 In 3.44
Zn 0.5000 0.5000 0.0983  8 La 3.25-3.27
Zn 0.5000 0.5000 0.2899  8 La 3.24-3.27
In 0.5000 0.5000 0.5000  8 La 3.44, 4 In 3.78

Values from the calculation:
- magnetization (μB/atom) = 0.00
- energy relative to the elements (eV/atom) = -0.3490



Material: Rb3Mg2AgCl9
Method: DFT, PBE
State: relaxed

Cell lengths 7.2127, 7.2127, 8.9184 Å; angles 90.00, 90.00, 120.00 degrees
Closest atoms and distances in Å follow each position.
Space group P-3m1 (No. 164)
Unique sites:
Rb 0.0000 0.0000 0.0000  12 Cl 3.61-3.64
Rb 0.3333 0.6667 0.6612  12 Cl 3.58-3.67
Mg 0.3333 0.6667 0.1588  6 Cl 2.52-2.53
Ag 0.0000 0.0000 0.5000  6 Cl 2.63
Cl 0.0000 0.5000 0.0000  2 Mg 2.52
Cl 0.1718 0.3435 0.3303  1 Mg 2.53, 1 Ag 2.63

Values from the calculation:
- magnetization (μB/atom) = 0.04
- ΔE_f (raw) (eV/atom) = -1.58



- Among the records above, which one has the highest magnetization?
  GdPaSe2